Record 1
Density functional theory data (PBE) for a relaxed structure of Sr2Cd3InGa4.

Values from the calculation:
Formation energy = -0.312 eV/atom

Lattice parameters (Å, degrees): 4.591 4.591 11.739 90.00 90.00 90.00
Space group P-4m2 (No. 115)
Inequivalent atoms, fractional coordinates:
Sr: 0.000 0.500 0.248 x2
Cd: 0.000 0.500 0.866 x2
Cd: 0.500 0.500 0.500 x1
In: 0.000 0.000 0.500 x1
Ga: 0.000 0.000 0.000 x1
Ga: 0.000 0.500 0.641 x2
Ga: 0.500 0.500 0.000 x1

Record 2
Density functional theory data (PBE) for a relaxed structure of HgSeN2.

Values from the calculation:
Energy relative to the lowest polymorph listed for this composition = 0.00 eV/f.u.
E_form (uncorrected) = -0.049 eV per atom

Lattice parameters (Å, degrees): 4.605 5.727 11.011 89.94 77.98 89.60
Space group P-1 (No. 2)
Inequivalent atoms, fractional coordinates:
Hg: 0.000 0.000 0.000 x1
Hg: 0.500 0.500 0.000 x1
Se: 0.172 0.750 0.157 x2
N: 0.347 0.812 0.618 x2
N: 0.465 0.312 0.382 x2

Record 3
Density functional theory data (PBE) for a relaxed structure of Na3Pr3GaO8.

Values from the calculation:
E_form (uncorrected) = -2.241 eV per atom

Lattice parameters (Å, degrees): 7.0389 7.0389 16.6494 90.00 90.00 120.00
Space group R-3m (No. 166, hexagonal axes)
Inequivalent atoms, fractional coordinates:
Na: 0.0000 0.5000 0.0000 x9
Pr: 0.0000 0.5000 0.5000 x9
Ga: 0.0000 0.0000 0.5000 x3
O: 0.0000 0.0000 0.2397 x6
O: 0.0413 0.5207 0.2335 x18

Record 4
Density functional theory data (PBE) for a relaxed structure of MnCuNi2Hg.

Values from the calculation:
Formation energy = 0.943 eV/atom

Lattice parameters (Å, degrees): 4.388 4.388 4.527 90.00 90.00 90.00
Space group P4/mmm (No. 123)
Inequivalent atoms, fractional coordinates:
Mn: 0.000 0.000 0.000 x1
Cu: 0.000 0.000 0.500 x1
Ni: 0.000 0.500 0.000 x2
Hg: 0.500 0.500 0.500 x1

Record 5
Density functional theory data (PBE) for a relaxed structure of Pr7Y2Ho.

Values from the calculation:
Energy relative to the lowest polymorph listed for this composition = 0.00 eV/f.u.
Formation energy = 0.376 eV/atom

Lattice parameters (Å, degrees): 12.227 17.072 3.545 90.00 90.00 90.00
Space group Cmmm (No. 65)
Inequivalent atoms, fractional coordinates:
Pr: 0.000 0.000 0.000 x2
Pr: 0.000 0.177 0.500 x4
Pr: 0.246 0.129 0.000 x8
Y: 0.000 0.334 0.000 x4
Ho: 0.000 0.500 0.500 x2

Record 6
Density functional theory data (PBE) for a relaxed structure of Tm3Ga5O12.

Values from the calculation:
E_form (uncorrected) = -2.572 eV per atom

Lattice parameters (Å, degrees): 12.312 12.312 12.312 90.00 90.00 90.00
Space group Ia-3d (No. 230)
Inequivalent atoms, fractional coordinates:
Tm: 0.000 0.250 0.125 x24
Ga: 0.000 0.000 0.000 x16
Ga: 0.000 0.250 0.375 x24
O: 0.026 0.057 0.651 x96

Record 7
Density functional theory data (PBE) for a relaxed structure of AcAlPd.

Values from the calculation:
Energy relative to the lowest polymorph listed for this composition = 0.73 eV/f.u.
Formation energy = -0.496 eV/atom

Lattice parameters (Å, degrees): 3.499 3.499 11.584 90.00 90.00 90.00
Space group I4mm (No. 107)
Inequivalent atoms, fractional coordinates:
Ac: 0.000 0.000 0.000 x2
Al: 0.000 0.000 0.289 x2
Pd: 0.000 0.000 0.704 x2

Record 8
Density functional theory data (PBE) for a relaxed structure of SiBrCl2.

Values from the calculation:
Energy relative to the lowest polymorph listed for this composition = 1.66 eV/f.u.
E_form (uncorrected) = -0.188 eV per atom

Lattice parameters (Å, degrees): 13.391 3.200 5.800 90.00 115.57 90.00
Space group C2/m (No. 12)
Inequivalent atoms, fractional coordinates:
Si: 0.000 0.000 0.000 x2
Br: 0.000 0.500 0.500 x2
Cl: 0.148 0.500 0.147 x4

Record 9
Density functional theory data (PBE) for a relaxed structure of AcCe2In.

Values from the calculation:
Energy relative to the lowest polymorph listed for this composition = 0.19 eV/f.u.
Formation energy = -0.065 eV/atom

Lattice parameters (Å, degrees): 3.726 3.726 9.258 90.00 90.00 90.00
Space group P4/mmm (No. 123)
Inequivalent atoms, fractional coordinates:
Ac: 0.000 0.000 0.000 x1
Ce: 0.500 0.500 0.278 x2
In: 0.000 0.000 0.500 x1

Record 10
Density functional theory data (PBE) for a relaxed structure of Ba2Ti2Se.

Values from the calculation:
Energy relative to the lowest polymorph listed for this composition = 0.00 eV/f.u.
E_form (uncorrected) = -0.249 eV per atom

Lattice parameters (Å, degrees): 3.834 3.834 21.113 90.00 90.00 90.00
Space group I4/mmm (No. 139)
Inequivalent atoms, fractional coordinates:
Ba: 0.000 0.000 0.092 x4
Ti: 0.000 0.500 0.250 x4
Se: 0.000 0.000 0.500 x2

Record 11
Density functional theory data (PBE) for a relaxed structure of Ac5Cd2Si2.

Values from the calculation:
E_form (uncorrected) = -0.365 eV per atom

Lattice parameters (Å, degrees): 17.602 8.294 8.260 90.00 90.00 90.00
Space group Cmce (No. 64)
Inequivalent atoms, fractional coordinates:
Ac: 0.000 0.000 0.000 x4
Ac: 0.127 0.186 0.319 x16
Cd: 0.220 0.000 0.000 x8
Si: 0.000 0.107 0.608 x8

Record 12
Density functional theory data (PBE) for a relaxed structure of CrHg2Br.

Values from the calculation:
Energy relative to the lowest polymorph listed for this composition = 0.17 eV/f.u.
E_form (uncorrected) = 0.067 eV per atom

Lattice parameters (Å, degrees): 4.181 3.629 7.371 90.00 106.46 90.00
Space group Pm (No. 6)
Inequivalent atoms, fractional coordinates:
Cr: 0.000 0.000 0.000 x1
Hg: 0.425 0.500 0.849 x1
Hg: 0.798 0.000 0.590 x1
Br: 0.132 0.500 0.262 x1

Record 13
Density functional theory data (PBE) for a relaxed structure of PmNdPtI.

Values from the calculation:
E_form (uncorrected) = -1.111 eV per atom

Lattice parameters (Å, degrees): 4.2583 4.2583 24.3891 90.00 90.00 120.00
Space group R3m (No. 160, hexagonal axes)
Inequivalent atoms, fractional coordinates:
Pm: 0.0000 0.0000 0.0000 x3
Nd: 0.0000 0.0000 0.7901 x3
Pt: 0.0000 0.0000 0.3944 x3
I: 0.0000 0.0000 0.5640 x3

Record 14
Density functional theory data (PBE) for a relaxed structure of LiP2H.

Values from the calculation:
Energy relative to the lowest polymorph listed for this composition = 3.18 eV/f.u.

Lattice parameters (Å, degrees): 5.650 5.650 5.650 90.00 90.00 90.00
Space group Fm-3m (No. 225)
Inequivalent atoms, fractional coordinates:
Li: 0.000 0.000 0.000 x4
P: 0.250 0.250 0.250 x8
H: 0.000 0.000 0.500 x4

Record 15
Density functional theory data (PBE) for a relaxed structure of RbPa4Ni3S12.

Values from the calculation:
E_form (uncorrected) = -1.104 eV per atom

Lattice parameters (Å, degrees): 9.685 9.685 9.685 90.00 90.00 90.00
Space group Im-3 (No. 204)
Inequivalent atoms, fractional coordinates:
Rb: 0.000 0.000 0.000 x2
Pa: 0.250 0.250 0.250 x8
Ni: 0.000 0.000 0.500 x6
S: 0.000 0.162 0.326 x24

Record 16
Density functional theory data (PBE) for a relaxed structure of NaSr2I2.

Values from the calculation:
Energy relative to the lowest polymorph listed for this composition = 0.00 eV/f.u.
E_form (uncorrected) = -0.862 eV per atom

Lattice parameters (Å, degrees): 5.619 5.619 15.738 90.00 90.00 90.00
Space group I4/mmm (No. 139)
Inequivalent atoms, fractional coordinates:
Na: 0.000 0.000 0.000 x2
Sr: 0.000 0.000 0.371 x4
I: 0.000 0.500 0.250 x4

Record 17
Density functional theory data (PBE) for a relaxed structure of BaSrInGa.

Values from the calculation:
Energy relative to the lowest polymorph listed for this composition = 0.00 eV/f.u.
Formation energy = -0.368 eV/atom

Lattice parameters (Å, degrees): 4.906 4.485 13.185 90.00 90.00 90.00
Space group Amm2 (No. 38)
Inequivalent atoms, fractional coordinates:
Ba: 0.000 0.000 0.000 x2
Sr: 0.500 0.000 0.292 x2
In: 0.500 0.000 0.592 x2
Ga: 0.000 0.000 0.723 x2

Record 18
Density functional theory data (PBE) for a relaxed structure of Li2TbHg6.

Values from the calculation:
Formation energy = -0.279 eV/atom

Lattice parameters (Å, degrees): 14.285 11.032 5.272 90.00 99.28 90.00
Space group C2/c (No. 15)
Inequivalent atoms, fractional coordinates:
Li: 0.162 0.124 0.089 x8
Tb: 0.000 0.373 0.250 x4
Hg: 0.058 0.119 0.527 x8
Hg: 0.120 0.372 0.806 x8
Hg: 0.231 0.374 0.349 x8

Record 19
Density functional theory data (PBE) for a relaxed structure of AgHPt3.

Values from the calculation:
Energy relative to the lowest polymorph listed for this composition = 0.05 eV/f.u.

Lattice parameters (Å, degrees): 4.066 4.066 4.066 90.00 90.00 90.00
Space group Pm-3m (No. 221)
Inequivalent atoms, fractional coordinates:
Ag: 0.000 0.000 0.000 x1
H: 0.500 0.500 0.500 x1
Pt: 0.000 0.500 0.500 x3

Record 20
Density functional theory data (PBE) for a relaxed structure of Cs4CrCl5.

Values from the calculation:
E_form (uncorrected) = -1.522 eV per atom

Lattice parameters (Å, degrees): 10.499 10.499 7.058 90.00 90.00 90.00
Space group I4 (No. 79)
Inequivalent atoms, fractional coordinates:
Cs: 0.093 0.705 0.000 x8
Cr: 0.000 0.000 0.533 x2
Cl: 0.000 0.000 0.896 x2
Cl: 0.082 0.747 0.492 x8

Record 21
Density functional theory data (PBE) for a relaxed structure of FeRh2S2.

Values from the calculation:
Energy relative to the lowest polymorph listed for this composition = 0.00 eV/f.u.
E_form (uncorrected) = 0.079 eV per atom

Lattice parameters (Å, degrees): 6.512 6.512 3.309 90.00 90.00 90.00
Space group P4/mbm (No. 127)
Inequivalent atoms, fractional coordinates:
Fe: 0.000 0.000 0.000 x2
Rh: 0.156 0.344 0.500 x4
S: 0.165 0.665 0.000 x4